(1)
Material: Pm3Pr2Sm6Cd
Method: DFT, PBE
State: relaxed

Summary:
energy relative to the elements	-0.9	kJ per mole of atoms

Lattice parameters (Å, degrees): 6.2440 6.2440 11.9573 95.05 95.05 120.04
Positions (direct):
Pm 0.0000 0.0000 0.0000
Pm 0.3333 0.6667 0.0000
Pm 0.6667 0.3333 0.0000
Pr 0.1671 0.8329 0.5000
Pr 0.8329 0.1671 0.5000
Sm 0.0901 0.4182 0.2520
Sm 0.2540 0.2540 0.7494
Sm 0.4182 0.0901 0.2520
Sm 0.5818 0.9099 0.7480
Sm 0.7460 0.7460 0.2506
Sm 0.9099 0.5818 0.7480
Cd 0.5000 0.5000 0.5000

(2)
Material: Pm2Pr2Sm2Cd
Method: DFT, PBE
State: relaxed

Summary:
energy relative to the elements	7.9	kJ per mole of atoms

Lattice parameters (Å, degrees): 8.9959 8.9959 8.3923 115.78 115.78 22.44
Positions (direct):
Pm 0.0666 0.0666 0.3839
Pm 0.9334 0.9334 0.6161
Pr 0.1427 0.1427 0.8950
Pr 0.8573 0.8573 0.1050
Sm 0.2762 0.2762 0.6937
Sm 0.7238 0.7238 0.3063
Cd 0.5000 0.5000 0.0000

(3)
Material: Pm3Pr6Sm2Cd
Method: DFT, PBE
State: relaxed

Summary:
energy relative to the elements	-0.5	kJ per mole of atoms

Lattice parameters (Å, degrees): 6.3182 6.3182 11.9966 95.10 95.10 120.12
Positions (direct):
Pm 0.0000 0.0000 0.0000
Pm 0.3330 0.6670 0.0000
Pm 0.6670 0.3330 0.0000
Pr 0.0908 0.4194 0.2538
Pr 0.2527 0.2527 0.7476
Pr 0.4194 0.0908 0.2538
Pr 0.5806 0.9092 0.7462
Pr 0.7473 0.7473 0.2524
Pr 0.9092 0.5806 0.7462
Sm 0.1671 0.8329 0.5000
Sm 0.8329 0.1671 0.5000
Cd 0.5000 0.5000 0.5000

(4)
Material: SrPmPrCd
Method: DFT, PBE
State: relaxed

Summary:
energy relative to the elements	7.6	kJ per mole of atoms

Lattice parameters (Å, degrees): 5.7900 5.7900 5.7900 60.00 60.00 60.00
Positions (direct):
Sr 0.0000 0.0000 0.0000
Pm 0.2500 0.2500 0.2500
Pr 0.5000 0.5000 0.5000
Cd 0.7500 0.7500 0.7500